(1)
A relaxed structure of AlSi2Ag. Source: OQMD, functional PBE-GGA.

a b c (Å): 6.421 6.421 6.421
angles (deg): 90.00 90.00 90.00
Positions (direct):
Al: 0.000 0.000 0.000
Al: 0.000 0.500 0.500
Al: 0.500 0.000 0.500
Al: 0.500 0.500 0.000
Si: 0.000 0.000 0.500
Si: 0.000 0.500 0.000
Si: 0.250 0.250 0.750
Si: 0.250 0.750 0.250
Si: 0.500 0.000 0.000
Si: 0.500 0.500 0.500
Si: 0.750 0.250 0.250
Si: 0.750 0.750 0.750
Ag: 0.250 0.250 0.250
Ag: 0.250 0.750 0.750
Ag: 0.750 0.250 0.750
Ag: 0.750 0.750 0.250

Energy, eV per atom: -3.945
Symmetry: No. 216



(2)
A relaxed structure of Tb2Al6Si4Ag. Source: OQMD, functional PBE-GGA.

a b c (Å): 17.025 17.025 17.025
angles (deg): 14.19 14.19 14.19
Positions (direct):
Tb: 0.065 0.065 0.065
Tb: 0.935 0.935 0.935
Al: 0.183 0.183 0.183
Al: 0.315 0.315 0.315
Al: 0.448 0.448 0.448
Al: 0.552 0.552 0.552
Al: 0.685 0.685 0.685
Al: 0.817 0.817 0.817
Si: 0.234 0.234 0.234
Si: 0.365 0.365 0.365
Si: 0.635 0.635 0.635
Si: 0.766 0.766 0.766
Ag: 0.500 0.500 0.500

Energy, eV per atom: -4.615
Total magnetization, Bohr magnetons per cell: 0.0
Symmetry: No. 166